# GGA-PBE HfCdFe3, optimized geometry
# Crystal system ... cubic
# M_tot ... 5.625 μB/cell
# Offset from the most stable computed form ... 0 meV/atom
# Energy relative to the elements ... 1.33 eV per atom
data_HfCdFe3
_chemical_formula_sum 'Hf1 Cd1 Fe3'
_space_group_name_H-M_alt 'P m -3 m'
_space_group_IT_number 221
_space_group_name_Hall '-P 4 2 3'
_cell_length_a 4.606
_cell_length_b 4.606
_cell_length_c 4.606
_cell_angle_alpha 90.00
_cell_angle_beta 90.00
_cell_angle_gamma 90.00
loop_
_atom_site_label
_atom_site_fract_x
_atom_site_fract_y
_atom_site_fract_z
_atom_site_occupancy
Hf1 0.000 0.000 0.000 1
Cd1 0.500 0.500 0.500 1
Fe1 0.000 0.000 0.500 1